Entry from the Alexandria database: a relaxed structure of K2SrCrO4 (PBE+U).

For the total magnetic moment, the calculation gives 4.0 μB/cell. The total energy is -5.80 eV per atom.

The structure in POSCAR format:
```
K2SrCrO4
1.0
-1.414 -4.588 -3.622
-1.777 -4.035 5.805
-6.798 2.414 -0.403
O K Cr Sr
8 4 2 2
Direct
0.421 0.710 0.287 O
0.302 0.164 0.000 O
0.802 0.836 0.500 O
0.421 0.710 0.713 O
0.397 0.062 0.500 O
0.921 0.290 0.787 O
0.897 0.938 0.000 O
0.921 0.290 0.213 O
0.482 0.344 0.738 K
0.982 0.656 0.762 K
0.982 0.656 0.238 K
0.482 0.344 0.262 K
0.002 0.172 0.000 Cr
0.502 0.828 0.500 Cr
0.994 0.116 0.500 Sr
0.494 0.884 0.000 Sr
```